Entry 1:
First-principles (GGA-PBE) data for a relaxed structure of TlHgAsS3, as listed in Alexandria via LeMat-Bulk.

Structure (POSCAR):
```
TlHgAsS3
1.0
6.259 0.036 0.000
-0.630 6.227 0.000
0.000 0.000 16.742
Tl Hg As S
4 4 4 12
direct
0.835 0.165 0.946
0.165 0.835 0.054
0.335 0.665 0.554
0.665 0.335 0.446
0.584 0.916 0.250
0.416 0.084 0.750
0.916 0.584 0.750
0.084 0.416 0.250
0.078 0.922 0.390
0.422 0.578 0.890
0.922 0.078 0.610
0.578 0.422 0.110
0.360 0.212 0.891
0.212 0.360 0.109
0.860 0.712 0.609
0.788 0.640 0.891
0.640 0.788 0.109
0.651 0.349 0.238
0.151 0.849 0.262
0.849 0.151 0.738
0.349 0.651 0.762
0.288 0.140 0.609
0.712 0.860 0.391
0.140 0.288 0.391
```

- crystal system = orthorhombic
- offset from the most stable computed form (meV per atom) = 0
- calculated volume (Å³/cell) = 652.9
- uncorrected formation energy (meV per atom) = -218
- M_tot (μB/f.u.) = 0.00

***

Entry 2:
First-principles (GGA-PBE) data for a relaxed structure of Tm6HgAs2S3, as listed in Alexandria via LeMat-Bulk.

Structure (POSCAR):
```
Tm6HgAs2S3
1.0
3.945 0.000 0.000
0.000 8.071 0.235
-1.973 -2.384 8.407
Tm Hg As S
6 1 2 3
direct
0.329 0.917 0.658
0.668 0.581 0.337
0.671 0.083 0.342
0.997 0.266 0.993
0.003 0.734 0.007
0.332 0.419 0.663
0.500 0.000 0.000
0.835 0.669 0.670
0.165 0.331 0.330
0.500 0.500 0.000
0.830 0.170 0.661
0.170 0.830 0.339
```

- crystal system = monoclinic
- calculated volume (Å³/cell) = 269.9
- uncorrected formation energy (meV per atom) = -1506
- M_tot (μB/f.u.) = 0.00

***

Entry 3:
First-principles (GGA-PBE) data for a relaxed structure of HgSbAs2, as listed in Alexandria via LeMat-Bulk.

Structure (POSCAR):
```
HgSbAs2
1.0
5.012 0.000 0.000
0.000 3.026 0.000
0.000 0.010 6.227
Sb As Hg
1 2 1
direct
0.500 0.750 0.750
0.000 0.746 0.035
0.000 0.754 0.465
0.500 0.250 0.250
```

- crystal system = monoclinic
- offset from the most stable computed form (meV per atom) = 160
- calculated volume (Å³/cell) = 94.5
- uncorrected formation energy (meV per atom) = 281
- M_tot (μB/f.u.) = 0.00

***

Entry 4:
First-principles (GGA-PBE) data for a relaxed structure of HgSbAs, as listed in Alexandria via LeMat-Bulk.

Structure (POSCAR):
```
HgSbAs
1.0
-0.377 -7.079 0.790
0.009 -5.870 -4.053
2.679 6.361 1.801
Sb As Hg
1 1 1
direct
0.632 0.632 0.000
0.030 0.030 0.000
0.338 0.338 0.000
```

- crystal system = tetragonal
- offset from the most stable computed form (meV per atom) = 172
- calculated volume (Å³/cell) = 83.7
- uncorrected formation energy (meV per atom) = 201
- M_tot (μB/f.u.) = 0.00

***

Entry 5:
First-principles (GGA-PBE) data for a relaxed structure of HgSb2As2, as listed in Alexandria via LeMat-Bulk.

Structure (POSCAR):
```
HgSb2As2
1.0
-4.105 -0.558 3.514
0.795 -5.373 0.076
1.266 -2.483 5.284
Sb As Hg
2 2 1
direct
0.750 0.250 0.500
0.250 0.750 0.500
0.359 0.359 0.282
0.641 0.641 0.718
0.000 0.000 0.000
```

- crystal system = tetragonal
- offset from the most stable computed form (meV per atom) = 25
- calculated volume (Å³/cell) = 135.0
- uncorrected formation energy (meV per atom) = 188
- M_tot (μB/f.u.) = 0.00

***

Entry 6:
First-principles (GGA-PBE) data for a relaxed structure of HgSbAs2, as listed in Alexandria via LeMat-Bulk.

Structure (POSCAR):
```
HgSbAs2
1.0
-4.936 2.493 2.250
4.148 -1.711 3.925
0.992 2.745 0.835
Sb As Hg
1 2 1
direct
0.500 0.500 0.000
0.000 0.000 0.000
0.500 0.000 0.500
0.000 0.500 0.500
```

- crystal system = monoclinic
- offset from the most stable computed form (meV per atom) = 260
- calculated volume (Å³/cell) = 90.7
- uncorrected formation energy (meV per atom) = 381
- M_tot (μB/f.u.) = 0.00